[1]
# CoMoN2 (PBE, relaxed)
data_CoMoN2
_symmetry_space_group_name_H-M 'P 1'
_symmetry_Int_Tables_number 1
_cell_length_a 6.2978
_cell_length_b 6.2978
_cell_length_c 6.2978
_cell_angle_alpha 26.98
_cell_angle_beta 26.98
_cell_angle_gamma 26.98
loop_
_symmetry_equiv_pos_as_xyz
'x,y,z'
loop_
_atom_site_label
_atom_site_type_symbol
_atom_site_fract_x
_atom_site_fract_y
_atom_site_fract_z
N1 N 0.9001 0.9001 0.9001
N2 N 0.0999 0.0999 0.0999
Mo1 Mo 0.5000 0.5000 0.5000
Co1 Co 0.0000 0.0000 0.0000
# Total energy, eV per atom: -8.51
# Symmetry: No. 166
# Formation energy without anion corrections, eV per atom: 0.136

***

[2]
# Co3Mo3N (PBE, relaxed)
data_Co3Mo3N
_symmetry_space_group_name_H-M 'P 1'
_symmetry_Int_Tables_number 1
_cell_length_a 7.8074
_cell_length_b 7.8074
_cell_length_c 7.8074
_cell_angle_alpha 60.00
_cell_angle_beta 60.00
_cell_angle_gamma 60.00
loop_
_symmetry_equiv_pos_as_xyz
'x,y,z'
loop_
_atom_site_label
_atom_site_type_symbol
_atom_site_fract_x
_atom_site_fract_y
_atom_site_fract_z
Co1 Co 0.8303 0.8303 0.5090
Co2 Co 0.4197 0.4197 0.4197
Co3 Co 0.4197 0.7410 0.4197
Co4 Co 0.6250 0.6250 0.6250
Co5 Co 0.1250 0.6250 0.6250
Co6 Co 0.8303 0.5090 0.8303
Co7 Co 0.4197 0.4197 0.7410
Co8 Co 0.6250 0.6250 0.1250
Co9 Co 0.5090 0.8303 0.8303
Co10 Co 0.7410 0.4197 0.4197
Co11 Co 0.8303 0.8303 0.8303
Co12 Co 0.6250 0.1250 0.6250
Mo1 Mo 0.7979 0.2021 0.7979
Mo2 Mo 0.0479 0.4521 0.0479
Mo3 Mo 0.2021 0.7979 0.7979
Mo4 Mo 0.2021 0.2021 0.7979
Mo5 Mo 0.7979 0.7979 0.2021
Mo6 Mo 0.7979 0.2021 0.2021
Mo7 Mo 0.0479 0.0479 0.4521
Mo8 Mo 0.4521 0.0479 0.4521
Mo9 Mo 0.4521 0.0479 0.0479
Mo10 Mo 0.0479 0.4521 0.4521
Mo11 Mo 0.4521 0.4521 0.0479
Mo12 Mo 0.2021 0.7979 0.2021
N1 N 0.1250 0.1250 0.1250
N2 N 0.1250 0.1250 0.6250
N3 N 0.6250 0.1250 0.1250
N4 N 0.1250 0.6250 0.1250
# Total energy, eV per atom: -9.03
# Symmetry: No. 227
# Formation energy without anion corrections, eV per atom: -0.152

***

[3]
# Co2Mo4N (PBE, relaxed)
data_Co2Mo4N
_symmetry_space_group_name_H-M 'P 1'
_symmetry_Int_Tables_number 1
_cell_length_a 7.9627
_cell_length_b 7.9627
_cell_length_c 7.9627
_cell_angle_alpha 60.00
_cell_angle_beta 60.00
_cell_angle_gamma 60.00
loop_
_symmetry_equiv_pos_as_xyz
'x,y,z'
loop_
_atom_site_label
_atom_site_type_symbol
_atom_site_fract_x
_atom_site_fract_y
_atom_site_fract_z
Co1 Co 0.9183 0.9183 0.2451
Co2 Co 0.9183 0.2451 0.9183
Co3 Co 0.3317 0.3317 0.3317
Co4 Co 0.3317 0.3317 0.0049
Co5 Co 0.9183 0.9183 0.9183
Co6 Co 0.3317 0.0049 0.3317
Co7 Co 0.0049 0.3317 0.3317
Co8 Co 0.2451 0.9183 0.9183
N1 N 0.1250 0.6250 0.6250
N2 N 0.6250 0.6250 0.1250
N3 N 0.6250 0.6250 0.6250
N4 N 0.6250 0.1250 0.6250
Mo1 Mo 0.1250 0.1250 0.1250
Mo2 Mo 0.6890 0.6890 0.3110
Mo3 Mo 0.6890 0.3110 0.6890
Mo4 Mo 0.6890 0.3110 0.3110
Mo5 Mo 0.5610 0.9390 0.5610
Mo6 Mo 0.5610 0.5610 0.9390
Mo7 Mo 0.1250 0.6250 0.1250
Mo8 Mo 0.9390 0.5610 0.9390
Mo9 Mo 0.3110 0.6890 0.6890
Mo10 Mo 0.3110 0.6890 0.3110
Mo11 Mo 0.9390 0.9390 0.5610
Mo12 Mo 0.3110 0.3110 0.6890
Mo13 Mo 0.6250 0.1250 0.1250
Mo14 Mo 0.9390 0.5610 0.5610
Mo15 Mo 0.5610 0.9390 0.9390
Mo16 Mo 0.1250 0.1250 0.6250
# Total energy, eV per atom: -9.57
# Symmetry: No. 227
# Formation energy without anion corrections, eV per atom: -0.158

***

[4]
# Co3MoN (PBE, relaxed)
data_Co3MoN
_symmetry_space_group_name_H-M 'P 1'
_symmetry_Int_Tables_number 1
_cell_length_a 4.4362
_cell_length_b 4.4362
_cell_length_c 4.4362
_cell_angle_alpha 90.00
_cell_angle_beta 90.00
_cell_angle_gamma 90.00
loop_
_symmetry_equiv_pos_as_xyz
'x,y,z'
loop_
_atom_site_label
_atom_site_type_symbol
_atom_site_fract_x
_atom_site_fract_y
_atom_site_fract_z
N1 N 0.5000 0.5000 0.5000
Co1 Co 0.0000 0.0000 0.5000
Co2 Co 0.0000 0.5000 0.0000
Co3 Co 0.5000 0.0000 0.0000
Mo1 Mo 0.0000 0.0000 0.0000
# Total energy, eV per atom: -5.53
# Symmetry: No. 221
# Formation energy without anion corrections, eV per atom: 2.569
# Relative energy among the computed polymorphs, kJ/mol of formula units: 1123.1

***

[5]
# CoMoN2 (PBE, relaxed)
data_CoMoN2
_symmetry_space_group_name_H-M 'P 1'
_symmetry_Int_Tables_number 1
_cell_length_a 3.6841
_cell_length_b 3.6841
_cell_length_c 3.6841
_cell_angle_alpha 60.00
_cell_angle_beta 60.00
_cell_angle_gamma 60.00
loop_
_symmetry_equiv_pos_as_xyz
'x,y,z'
loop_
_atom_site_label
_atom_site_type_symbol
_atom_site_fract_x
_atom_site_fract_y
_atom_site_fract_z
N1 N 0.7500 0.7500 0.7500
N2 N 0.2500 0.2500 0.2500
Mo1 Mo 0.5000 0.5000 0.5000
Co1 Co 0.0000 0.0000 0.0000
# Total energy, eV per atom: -8.11
# Symmetry: No. 225
# Formation energy without anion corrections, eV per atom: 0.536

***

[6]
# CoMo3N (PBE, relaxed)
data_CoMo3N
_symmetry_space_group_name_H-M 'P 1'
_symmetry_Int_Tables_number 1
_cell_length_a 4.4117
_cell_length_b 4.4117
_cell_length_c 4.4117
_cell_angle_alpha 90.00
_cell_angle_beta 90.00
_cell_angle_gamma 90.00
loop_
_symmetry_equiv_pos_as_xyz
'x,y,z'
loop_
_atom_site_label
_atom_site_type_symbol
_atom_site_fract_x
_atom_site_fract_y
_atom_site_fract_z
Co1 Co 0.0000 0.0000 0.0000
N1 N 0.5000 0.5000 0.5000
Mo1 Mo 0.5000 0.0000 0.0000
Mo2 Mo 0.0000 0.5000 0.0000
Mo3 Mo 0.0000 0.0000 0.5000
# Total energy, eV per atom: -7.37
# Symmetry: No. 221
# Formation energy without anion corrections, eV per atom: 2.219
# Relative energy among the computed polymorphs, kJ/mol of formula units: 1097.1